[1]
First-principles (GGA-PBE) data for an optimized crystal structure of SnAsAu4, as listed in the Alexandria database.

Summary:
Its density of states at the Fermi level is 2.91 states/eV/f.u. The volume comes out at 124 Å³/cell. Its formation energy is 10 kJ per mole of atoms.

CIF file:
```
data_SnAsAu4
_chemical_formula_sum 'Sn1 As1 Au4'
_cell_length_a 5.597
_cell_length_b 5.597
_cell_length_c 5.597
_cell_angle_alpha 60.00
_cell_angle_beta 60.00
_cell_angle_gamma 60.00
_space_group_name_H-M_alt 'P 1'
_space_group_IT_number 1
_space_group_name_Hall 'P 1'
loop_
_atom_site_label
_atom_site_fract_x
_atom_site_fract_y
_atom_site_fract_z
_atom_site_occupancy
Au1 0.625 0.625 0.625 1
Au2 0.625 0.124 0.625 1
Au3 0.124 0.625 0.625 1
Au4 0.625 0.625 0.124 1
As1 0.000 0.000 0.000 1
Sn1 0.250 0.250 0.250 1
```

=====

[2]
First-principles (GGA-PBE) data for an optimized crystal structure of Sn4As5Au, as listed in the Alexandria database.

Summary:
Its density of states at the Fermi level is 4.35 states/eV/f.u. The volume comes out at 556 Å³/cell. Its formation energy is 2 kJ per mole of atoms.

CIF file:
```
data_Sn4As5Au
_chemical_formula_sum 'Sn8 As10 Au2'
_cell_length_a 5.261
_cell_length_b 9.240
_cell_length_c 11.438
_cell_angle_alpha 90.00
_cell_angle_beta 90.00
_cell_angle_gamma 90.00
_space_group_name_H-M_alt 'P 1'
_space_group_IT_number 1
_space_group_name_Hall 'P 1'
loop_
_atom_site_label
_atom_site_fract_x
_atom_site_fract_y
_atom_site_fract_z
_atom_site_occupancy
As1 0.315 0.752 0.187 1
As2 0.315 0.248 0.187 1
As3 0.912 0.500 0.000 1
As4 0.685 0.252 0.687 1
As5 0.685 0.252 0.313 1
As6 0.685 0.748 0.313 1
As7 0.685 0.748 0.687 1
As8 0.315 0.248 0.813 1
As9 0.088 0.000 0.500 1
As10 0.315 0.752 0.813 1
Sn1 0.382 0.237 0.500 1
Sn2 0.029 0.500 0.257 1
Sn3 0.971 0.000 0.757 1
Sn4 0.618 0.737 0.000 1
Sn5 0.618 0.263 0.000 1
Sn6 0.971 0.000 0.243 1
Sn7 0.382 0.763 0.500 1
Sn8 0.029 0.500 0.743 1
Au1 0.838 0.000 0.000 1
Au2 0.162 0.500 0.500 1
```

=====

Q: Look up the volume of the second one.
A: 556 Å³/cell

=====

Q: Number 2 is which compound?
A: Sn4As5Au